Arrangement i

Material: MgAgSO
Method: DFT, PBE
State: relaxed

a = 6.409 Å, b = 8.063 Å, c = 5.133 Å
α = 90.00°, β = 90.00°, γ = 90.00°
Element x y z (fractional)
S 0.058 0.644 0.079
O 0.897 0.924 0.608
S 0.558 0.356 0.079
Ag 0.969 0.340 0.074
Ag 0.031 0.660 0.574
Ag 0.531 0.340 0.574
S 0.442 0.644 0.579
O 0.603 0.924 0.108
Mg 0.390 0.078 0.989
Mg 0.110 0.078 0.489
O 0.103 0.076 0.108
Ag 0.469 0.660 0.074
Mg 0.890 0.922 0.989
O 0.397 0.076 0.608
Mg 0.610 0.922 0.489
S 0.942 0.356 0.579



Arrangement ii

Material: MgAgSO
Method: DFT, PBE
State: relaxed

a = 2.845 Å, b = 5.439 Å, c = 7.674 Å
α = 90.00°, β = 79.32°, γ = 90.00°
Element x y z (fractional)
S 0.807 0.750 0.385
Mg 0.471 0.750 0.059
O 0.000 0.500 0.000
Mg 0.529 0.250 0.941
O 0.000 0.000 0.000
Ag 0.160 0.750 0.681
Ag 0.840 0.250 0.319
S 0.193 0.250 0.615



Arrangement iii

Material: MgAgSO
Method: DFT, PBE
State: relaxed

a = 3.709 Å, b = 3.709 Å, c = 9.269 Å
α = 90.00°, β = 90.00°, γ = 90.00°
Element x y z (fractional)
Ag 0.250 0.250 0.851
O 0.750 0.250 0.500
Mg 0.250 0.250 0.429
Ag 0.750 0.750 0.149
Mg 0.750 0.750 0.571
S 0.250 0.250 0.157
S 0.750 0.750 0.843
O 0.250 0.750 0.500



Arrangement iv

Material: MgAgSO
Method: DFT, PBE
State: relaxed

a = 5.175 Å, b = 3.835 Å, c = 13.193 Å
α = 90.00°, β = 90.00°, γ = 90.00°
Element x y z (fractional)
Ag 0.247 0.750 0.084
O 0.220 0.750 0.679
S 0.242 0.250 0.928
S 0.758 0.750 0.072
O 0.280 0.250 0.179
Ag 0.753 0.250 0.916
Ag 0.747 0.750 0.416
O 0.780 0.250 0.321
Mg 0.655 0.250 0.184
O 0.720 0.750 0.821
Mg 0.345 0.750 0.816
S 0.742 0.250 0.572
Mg 0.845 0.750 0.684
Mg 0.155 0.250 0.316
Ag 0.253 0.250 0.584
S 0.258 0.750 0.428



Energy above the most stable structure, in kJ/mol of atoms: arrangement i 0.0; arrangement ii 11.9; arrangement iii 4.6; arrangement iv 19.5



Arrangement i

Material: MgTaAgPd
Method: DFT, PBE
State: relaxed

Output
The size of the total moment is 0.001 μB/f.u.

a = 4.558 Å, b = 4.558 Å, c = 4.558 Å
α = 60.00°, β = 60.00°, γ = 60.00°
Element x y z (fractional)
Ag 0.250 0.250 0.250
Ta 0.000 0.000 0.000
Mg 0.750 0.750 0.750
Pd 0.500 0.500 0.500



Arrangement ii

Material: MgTaAgPd
Method: DFT, PBE
State: relaxed

Output
The size of the total moment is 0.000 μB/f.u.

a = 4.585 Å, b = 4.585 Å, c = 4.585 Å
α = 60.00°, β = 60.00°, γ = 60.00°
Element x y z (fractional)
Ag 0.000 0.000 0.000
Ta 0.250 0.250 0.250
Mg 0.750 0.750 0.750
Pd 0.500 0.500 0.500



Arrangement iii

Material: MgTaAgPd
Method: DFT, PBE
State: relaxed

Output
The size of the total moment is 0.000 μB/f.u.

a = 4.553 Å, b = 4.553 Å, c = 4.553 Å
α = 60.00°, β = 60.00°, γ = 60.00°
Element x y z (fractional)
Ag 0.500 0.500 0.500
Mg 0.750 0.750 0.750
Pd 0.250 0.250 0.250
Ta 0.000 0.000 0.000



Energy above the most stable structure, in kJ/mol of atoms: arrangement i 25.7; arrangement ii 0.0; arrangement iii 11.6



Arrangement i

Material: PmMgAg
Method: DFT, PBE
State: relaxed

Output
The size of the total moment is 0.015 μB/f.u.

a = 4.866 Å, b = 4.866 Å, c = 4.866 Å
α = 60.00°, β = 60.00°, γ = 60.00°
Element x y z (fractional)
Mg 0.000 0.000 0.000
Pm 0.750 0.750 0.750
Ag 0.250 0.250 0.250



Arrangement ii

Material: PmMgAg
Method: DFT, PBE
State: relaxed

Output
The size of the total moment is 0.022 μB/f.u.

a = 5.005 Å, b = 5.005 Å, c = 5.005 Å
α = 60.00°, β = 60.00°, γ = 60.00°
Element x y z (fractional)
Pm 0.000 0.000 0.000
Mg 0.750 0.750 0.750
Ag 0.250 0.250 0.250



Energy above the most stable structure, in kJ/mol of atoms: arrangement i 0.0; arrangement ii 13.0



Arrangement i

Material: Mg2AgPt
Method: DFT, PBE
State: relaxed

Output
The size of the total moment is 0.002 μB/f.u.

a = 4.568 Å, b = 6.490 Å, c = 13.695 Å
α = 90.00°, β = 90.00°, γ = 90.00°
Element x y z (fractional)
Ag 0.000 0.500 0.333
Mg 0.500 0.250 0.667
Pt 0.500 0.500 0.167
Mg 0.500 0.250 0.000
Pt 0.000 0.000 0.667
Mg 0.000 0.250 0.500
Ag 0.500 0.000 0.833
Ag 0.000 0.500 0.000
Mg 0.500 0.750 0.667
Ag 0.500 0.000 0.500
Pt 0.000 0.000 0.000
Ag 0.500 0.000 0.167
Mg 0.500 0.750 0.000
Pt 0.500 0.500 0.833
Pt 0.000 0.000 0.333
Mg 0.000 0.250 0.833
Mg 0.000 0.250 0.167
Mg 0.000 0.750 0.500
Mg 0.000 0.750 0.833
Mg 0.500 0.250 0.333
Mg 0.000 0.750 0.167
Mg 0.500 0.750 0.333
Ag 0.000 0.500 0.667
Pt 0.500 0.500 0.500



Arrangement ii

Material: Mg2AgPt
Method: DFT, PBE
State: relaxed

Output
The size of the total moment is 0.001 μB/f.u.

a = 4.490 Å, b = 4.490 Å, c = 3.349 Å
α = 90.00°, β = 90.00°, γ = 90.00°
Element x y z (fractional)
Ag 0.500 0.500 0.000
Mg 0.000 0.500 0.500
Pt 0.000 0.000 0.000
Mg 0.500 0.000 0.500



Energy above the most stable structure, in kJ/mol of atoms: arrangement i 0.0; arrangement ii 3.3